VASP calculation (PBE-GGA) on a relaxed structure of Sc3HgC.

Unit cell a=23.574 b=5.930 c=9.119 alpha=90.00 beta=162.49 gamma=90.00
Fractional coordinates of all 20 atoms:
C: 0.969 0.251 0.830
C: 0.469 0.249 0.330
C: 0.531 0.751 0.670
C: 0.031 0.749 0.170
Sc: 0.403 0.879 0.561
Sc: 0.597 0.121 0.439
Sc: 0.361 0.425 0.271
Sc: 0.903 0.621 0.061
Sc: 0.793 0.575 0.444
Sc: 0.207 0.425 0.556
Sc: 0.707 0.075 0.056
Sc: 0.293 0.925 0.944
Sc: 0.861 0.075 0.771
Sc: 0.139 0.925 0.229
Sc: 0.639 0.575 0.729
Sc: 0.097 0.379 0.939
Hg: 0.993 0.814 0.577
Hg: 0.507 0.314 0.923
Hg: 0.493 0.686 0.077
Hg: 0.007 0.186 0.423

Properties
- Theoretical density: 6.0 g cm⁻³
- Energy relative to the elements: -418 meV/atom
- Fermi-level density of states: 1.51 states/eV/atom
- Size of the total moment: 0.0 μB per formula unit
- Relative energy among the computed polymorphs: 137 meV per atom

VASP calculation (PBE-GGA) on a relaxed structure of ScHg3C.

Unit cell a=4.725 b=4.725 c=4.725 alpha=90.00 beta=90.00 gamma=90.00
Fractional coordinates of all 5 atoms:
C: 0.000 0.000 0.000
Hg: 0.500 0.000 0.000
Hg: 0.000 0.000 0.500
Hg: 0.000 0.500 0.000
Sc: 0.500 0.500 0.500

Properties
- Theoretical density: 10.4 g cm⁻³
- Energy relative to the elements: 924 meV/atom
- Fermi-level density of states: 0.62 states/eV/atom
- Size of the total moment: 0.0 μB per formula unit
- Relative energy among the computed polymorphs: 0 meV per atom

VASP calculation (PBE-GGA) on a relaxed structure of Sc4HgC2.

Unit cell a=3.338 b=3.338 c=13.401 alpha=82.85 beta=82.85 gamma=60.00
Fractional coordinates of all 7 atoms:
Sc: 0.875 0.875 0.376
Sc: 0.125 0.125 0.624
Sc: 0.270 0.270 0.191
Sc: 0.730 0.730 0.809
C: 0.429 0.429 0.714
C: 0.571 0.571 0.286
Hg: 0.000 0.000 0.000

Properties
- Theoretical density: 5.2 g cm⁻³
- Energy relative to the elements: -469 meV/atom
- Fermi-level density of states: 0.97 states/eV/atom
- Size of the total moment: 0.0 μB per formula unit

VASP calculation (PBE-GGA) on a relaxed structure of Sc3HgC.

Unit cell a=6.427 b=7.262 c=5.591 alpha=58.28 beta=73.99 gamma=102.88
Fractional coordinates of all 10 atoms:
Sc: 0.517 0.470 0.113
Sc: 0.537 0.977 0.508
Sc: 0.810 0.177 0.795
Sc: 0.011 0.450 0.035
Sc: 0.301 0.186 0.854
Sc: 0.801 0.686 0.354
C: 0.662 0.325 0.438
C: 0.910 0.077 0.171
Hg: 0.292 0.695 0.319
Hg: 0.041 0.946 0.579

Properties
- Theoretical density: 6.1 g cm⁻³
- Energy relative to the elements: -428 meV/atom
- Fermi-level density of states: 0.55 states/eV/atom
- Size of the total moment: 0.0 μB per formula unit
- Relative energy among the computed polymorphs: 127 meV per atom

VASP calculation (PBE-GGA) on a relaxed structure of Sc3HgC.

Unit cell a=4.541 b=4.541 c=4.541 alpha=90.00 beta=90.00 gamma=90.00
Fractional coordinates of all 5 atoms:
Sc: 0.000 0.000 0.500
Sc: 0.500 0.000 0.000
Sc: 0.000 0.500 0.000
C: 0.000 0.000 0.000
Hg: 0.500 0.500 0.500

Properties
- Theoretical density: 6.2 g cm⁻³
- Energy relative to the elements: -548 meV/atom
- Fermi-level density of states: 1.79 states/eV/atom
- Size of the total moment: 0.8 μB per formula unit
- Relative energy among the computed polymorphs: 8 meV per atom

VASP calculation (PBE-GGA) on a relaxed structure of Sc3HgC.

Unit cell a=19.192 b=8.799 c=8.799 alpha=158.86 beta=153.84 gamma=26.16
Fractional coordinates of all 10 atoms:
C: 0.645 0.959 0.041
C: 0.355 0.041 0.959
Sc: 0.524 0.323 0.677
Sc: 0.819 0.882 0.118
Sc: 0.181 0.118 0.882
Sc: 0.229 0.734 0.266
Sc: 0.476 0.677 0.323
Sc: 0.771 0.266 0.734
Hg: 0.103 0.023 0.977
Hg: 0.897 0.977 0.023

Properties
- Theoretical density: 5.3 g cm⁻³
- Energy relative to the elements: -177 meV/atom
- Fermi-level density of states: 0.93 states/eV/atom
- Size of the total moment: 0.0 μB per formula unit
- Relative energy among the computed polymorphs: 378 meV per atom

VASP calculation (PBE-GGA) on a relaxed structure of Sc2HgC.

Unit cell a=8.611 b=8.611 c=8.611 alpha=22.55 beta=22.55 gamma=22.55
Fractional coordinates of all 4 atoms:
Hg: 0.000 0.000 0.000
C: 0.500 0.500 0.500
Sc: 0.120 0.120 0.120
Sc: 0.880 0.880 0.880

Properties
- Theoretical density: 6.1 g cm⁻³
- Energy relative to the elements: -325 meV/atom
- Fermi-level density of states: 0.85 states/eV/atom
- Size of the total moment: 0.0 μB per formula unit

VASP calculation (PBE-GGA) on a relaxed structure of Sc3HgC.

Unit cell a=6.429 b=6.428 c=6.392 alpha=119.82 beta=60.19 gamma=120.38
Fractional coordinates of all 10 atoms:
Sc: 0.285 0.600 0.404
Sc: 0.751 0.564 0.870
Sc: 0.250 0.065 0.938
Sc: 0.817 0.632 0.371
Sc: 0.315 0.134 0.440
Sc: 0.782 0.097 0.906
C: 0.533 0.349 0.155
C: 0.033 0.849 0.655
Hg: 0.783 0.099 0.405
Hg: 0.283 0.599 0.905

Properties
- Theoretical density: 6.2 g cm⁻³
- Energy relative to the elements: -556 meV/atom
- Fermi-level density of states: 1.07 states/eV/atom
- Size of the total moment: 0.0 μB per formula unit
- Relative energy among the computed polymorphs: 0 meV per atom